BaCd3Mo (PBE-GGA, optimized geometry); mass density = 3.6 Mg/m³; space group = No. 221; total magnetic moment = 4.64 μB/f.u.; energy above the lowest structure with this stoichiometry = 1145.7 meV/atom; ΔH_f (0 K) = 148 kJ per mole of atoms
1.0
6.413 0.000 0.000
0.000 6.413 0.000
0.000 0.000 6.413
Mo Ba Cd
1 1 3
Direct
0.500 0.500 0.500
0.000 0.000 0.000
0.000 0.500 0.000
0.000 0.000 0.500
0.500 0.000 0.000